[1]
! BaSiPt2 PBE relaxed; values from VASP
&SYSTEM
  ibrav = 0, nat = 4, ntyp = 3
/
ATOMIC_SPECIES
Ba 137.33 Ba.upf
Si 28.09 Si.upf
Pt 195.08 Pt.upf
ATOMIC_POSITIONS crystal
Ba 0.0000 0.0000 0.0000
Si 0.3458 0.8458 0.5000
Pt 0.4558 0.4558 0.0000
Pt 0.6639 0.1639 0.5000
CELL_PARAMETERS angstrom
-2.2100 3.1057 3.7471
2.2100 -3.1057 3.7471
2.2100 3.1057 -3.7471
! Formation energy without anion corrections, kcal/mol of atoms: -7.49
! M_tot, μB per atom: 0.0000


[2]
! CoTe2Ir PBE relaxed; values from VASP
&SYSTEM
  ibrav = 0, nat = 4, ntyp = 3
/
ATOMIC_SPECIES
Co 58.93 Co.upf
Te 127.60 Te.upf
Ir 192.22 Ir.upf
ATOMIC_POSITIONS crystal
Co 0.0000 0.0000 0.0000
Te 0.2539 0.2539 0.7607
Te 0.7461 0.7461 0.2393
Ir 0.5000 0.5000 0.5000
CELL_PARAMETERS angstrom
3.3368 -1.8970 0.0000
3.3368 1.8970 0.0000
-2.1718 0.0000 6.1199
! Formation energy without anion corrections, kcal/mol of atoms: 6.21
! M_tot, μB per atom: 0.0001